1.
Na2Dy3ErTe6 | PBE-GGA | optimized geometry

Output
V: 30.12 A^3/atom
formation energy from raw total energies: -1296 meV per atom
DOS at the Fermi energy: 0.30 states/eV per atom

Lattice parameters (Å, degrees): 7.579 7.579 7.685 99.43 99.43 119.94
Atoms (fractional coordinates):
Na1 0.165 0.835 0.000
Na2 0.835 0.165 0.000
Dy1 0.000 0.000 0.500
Dy2 0.330 0.670 0.500
Dy3 0.670 0.330 0.500
Er1 0.500 0.500 0.000
Te1 0.088 0.416 0.749
Te2 0.258 0.258 0.255
Te3 0.416 0.088 0.749
Te4 0.584 0.912 0.251
Te5 0.742 0.742 0.745
Te6 0.912 0.584 0.251


2.
PrZn2Ag2Au | PBE-GGA | optimized geometry

Output
V: 23.00 A^3/atom
formation energy: -0.07 eV per atom
DOS at the Fermi energy: 0.46 states/eV per atom

Lattice parameters (Å, degrees): 4.857 4.857 5.851 90.00 90.00 90.00
Atoms (fractional coordinates):
Pr1 0.000 0.000 0.000
Zn1 0.000 0.500 0.500
Zn2 0.500 0.000 0.500
Ag1 0.500 0.500 0.235
Ag2 0.500 0.500 0.765
Au1 0.000 0.000 0.500


3.
Ta8Nb2Mo | PBE-GGA | optimized geometry

Output
V: 18.59 A^3/atom
formation energy: 0.14 eV per atom
DOS at the Fermi energy: 1.05 states/eV per atom

Lattice parameters (Å, degrees): 7.639 7.639 5.404 100.97 100.97 41.49
Atoms (fractional coordinates):
Ta1 0.000 0.000 0.243
Ta2 0.000 0.000 0.757
Ta3 0.085 0.591 0.429
Ta4 0.398 0.398 0.956
Ta5 0.409 0.915 0.571
Ta6 0.591 0.085 0.429
Ta7 0.602 0.602 0.044
Ta8 0.915 0.409 0.571
Nb1 0.195 0.195 0.066
Nb2 0.805 0.805 0.934
Mo1 0.500 0.500 0.500


4.
YTmTe | PBE-GGA | optimized geometry

Output
V: 30.00 A^3/atom
formation energy from raw total energies: -472 meV per atom
DOS at the Fermi energy: 0.76 states/eV per atom

Lattice parameters (Å, degrees): 5.128 5.128 3.952 90.00 90.00 120.00
Atoms (fractional coordinates):
Y1 0.000 0.000 0.000
Tm1 0.333 0.667 0.491
Te1 0.667 0.333 0.270


5.
In6Pd3Rh | PBE-GGA | optimized geometry

Output
V: 21.36 A^3/atom
formation energy: -0.29 eV per atom
DOS at the Fermi energy: 0.38 states/eV per atom

Lattice parameters (Å, degrees): 7.450 6.457 10.785 90.00 124.56 90.00
Atoms (fractional coordinates):
In1 0.068 0.024 0.270
In2 0.068 0.476 0.770
In3 0.249 0.158 0.596
In4 0.249 0.342 0.096
In5 0.384 0.629 0.559
In6 0.384 0.871 0.059
In7 0.616 0.129 0.941
In8 0.616 0.371 0.441
In9 0.751 0.658 0.904
In10 0.751 0.842 0.404
In11 0.932 0.524 0.230
In12 0.932 0.976 0.730
Pd1 0.299 0.688 0.263
Pd2 0.299 0.812 0.763
Pd3 0.500 0.000 0.500
Pd4 0.500 0.500 0.000
Pd5 0.701 0.188 0.237
Pd6 0.701 0.312 0.737
Rh1 0.000 0.000 0.000
Rh2 0.000 0.500 0.500


6.
Ta2MnTlTe | PBE-GGA | optimized geometry

Output
V: 24.73 A^3/atom
formation energy from raw total energies: 1467 meV per atom
DOS at the Fermi energy: 1.08 states/eV per atom

Lattice parameters (Å, degrees): 5.101 5.101 4.752 90.00 90.00 90.00
Atoms (fractional coordinates):
Ta1 0.000 0.500 0.000
Ta2 0.500 0.000 0.000
Mn1 0.000 0.000 0.500
Tl1 0.500 0.500 0.500
Te1 0.000 0.000 0.000


7.
TbPmSc | PBE-GGA | optimized geometry

Output
V: 30.18 A^3/atom
formation energy: 0.05 eV per atom
DOS at the Fermi energy: 1.61 states/eV per atom

Lattice parameters (Å, degrees): 7.721 7.721 7.721 153.65 153.65 37.61
Atoms (fractional coordinates):
Tb1 0.000 0.000 0.000
Pm1 0.322 0.322 0.000
Sc1 0.659 0.659 0.000


8.
ScTl2Pd6 | PBE-GGA | optimized geometry

Output
V: 17.35 A^3/atom
formation energy: -0.40 eV per atom
DOS at the Fermi energy: 0.58 states/eV per atom

Lattice parameters (Å, degrees): 4.952 4.952 8.486 102.90 102.90 50.74
Atoms (fractional coordinates):
Sc1 0.000 0.000 0.000
Tl1 0.313 0.313 0.759
Tl2 0.687 0.687 0.241
Pd1 0.010 0.010 0.328
Pd2 0.343 0.343 0.104
Pd3 0.343 0.343 0.442
Pd4 0.657 0.657 0.558
Pd5 0.657 0.657 0.896
Pd6 0.990 0.990 0.672